## Ce2PrNd3Dy6 (PBE)

Data for an optimized crystal structure of Ce2PrNd3Dy6.

```
Ce2PrNd3Dy6
1.0
6.226 -0.002 0.005
-3.113 5.392 0.005
-1.048 -1.814 11.610
Ce Pr Nd Dy
2 1 3 6
Cartesian
0.000 3.594 0.005
3.113 1.796 0.005
0.000 0.000 0.000
-2.086 3.589 5.810
4.151 -0.013 5.810
1.033 1.788 5.810
3.113 1.766 8.750
2.065 3.576 2.876
-1.048 1.810 2.870
-0.026 3.579 8.750
0.000 0.000 8.745
2.091 -0.003 2.870
```

N(E_F) = 1.757 states/eV per atom
crystal system = monoclinic
E_form = 54 kJ/mol of formula units